## Sr2LiOs3O12 (PBE-GGA)

Data for crystalline Sr2LiOs3O12 at its relaxed geometry.

POSCAR file:
```
Sr2LiOs3O12
1.0
3.634 2.098 5.294
-3.634 2.098 5.294
0.000 -4.197 5.294
Sr Li Os O
2 1 3 12
Direct
0.107 0.107 0.107 Sr
0.893 0.893 0.893 Sr
0.500 0.500 0.500 Li
0.000 0.500 0.500 Os
0.500 0.000 0.500 Os
0.500 0.500 0.000 Os
0.035 0.647 0.647 O
0.221 0.221 0.634 O
0.221 0.634 0.221 O
0.353 0.353 0.965 O
0.353 0.965 0.353 O
0.366 0.779 0.779 O
0.634 0.221 0.221 O
0.647 0.035 0.647 O
0.647 0.647 0.035 O
0.779 0.366 0.779 O
0.779 0.779 0.366 O
0.965 0.353 0.353 O
```

Values from the calculation:
Space group: R-3m
Formation energy from raw total energies: -1.48 eV/atom

***

## Li2Tl2Ag (PBE-GGA)

Data for crystalline Li2Tl2Ag at its relaxed geometry.

POSCAR file:
```
Li2Tl2Ag
1.0
-3.085 6.516 2.788
3.085 -6.516 2.788
3.085 6.516 -2.788
Li Tl Ag
4 4 2
Direct
0.171 0.163 0.334 Li
0.329 0.663 0.991 Li
0.671 0.337 0.009 Li
0.829 0.837 0.666 Li
0.107 0.639 0.747 Tl
0.393 0.139 0.532 Tl
0.607 0.861 0.468 Tl
0.893 0.361 0.253 Tl
0.250 0.250 0.000 Ag
0.750 0.750 0.000 Ag
```

Values from the calculation:
Space group: Ibam
Excess energy over the best structure of this formula in the dataset: 0.095 eV/f.u.
Formation enthalpy at 0 K: -107 meV/atom

***

## TeBrO3 (PBE-GGA)

Data for crystalline TeBrO3 at its relaxed geometry.

POSCAR file:
```
TeBrO3
1.0
4.077 0.000 0.000
0.000 4.077 0.000
0.000 0.000 4.077
Te Br O
1 1 3
Direct
0.000 0.000 0.000 Te
0.500 0.500 0.500 Br
0.000 0.000 0.500 O
0.000 0.500 0.000 O
0.500 0.000 0.000 O
```

Values from the calculation:
Space group: Pm-3m
Formation energy from raw total energies: -0.02 eV/atom

***

| no. | DFT total energy (eV/f.u.) | size of the total moment (Bohr magnetons per cell) |
| --- | --- | --- |
| 1 | -125.13 | 0.6 |
| 2 | -11.95 | 0.0 |
| 3 | -19.80 | 1.9 |